{"formula": "Pm12Mg2Sn5", "functional": "PBE-GGA", "state": "optimized geometry", "lattice_angstrom": [[-7.774, 1.138, 2.872], [1.613, -7.390, -4.887], [1.930, -5.196, 7.284]], "species": ["Pm", "Pm", "Pm", "Pm", "Pm", "Pm", "Pm", "Pm", "Pm", "Pm", "Pm", "Pm", "Mg", "Mg", "Sn", "Sn", "Sn", "Sn", "Sn"], "fractional_positions": [[0.871, 0.275, 0.579], [0.952, 0.343, 0.150], [0.942, 0.884, 0.164], [0.464, 0.929, 0.683], [0.391, 0.343, 0.150], [0.536, 0.071, 0.317], [0.609, 0.657, 0.850], [0.048, 0.657, 0.850], [0.129, 0.725, 0.421], [0.404, 0.275, 0.579], [0.058, 0.116, 0.836], [0.596, 0.725, 0.421], [0.677, 0.000, 0.000], [0.323, 0.000, 0.000], [0.346, 0.693, 0.123], [0.000, 0.000, 0.500], [0.736, 0.472, 0.340], [0.654, 0.307, 0.877], [0.264, 0.528, 0.660]], "n_ef_per_ev_fu": 21.86, "ef_mev_per_atom": -252, "energy_ev_per_atom": -4.473, "magmom_total_mub_per_fu": 0.00, "crystal_system": "monoclinic", "space_group": "C2/m, No. 12"}

{"formula": "Pm3Mg2Sn3", "functional": "PBE-GGA", "state": "optimized geometry", "lattice_angstrom": [[-0.433, -2.414, -3.608], [0.182, -3.961, 2.628], [-10.327, 3.430, 1.581]], "species": ["Pm", "Pm", "Pm", "Mg", "Mg", "Sn", "Sn", "Sn"], "fractional_positions": [[0.375, 0.375, 0.751], [0.500, 0.000, 0.000], [0.625, 0.625, 0.249], [0.750, 0.250, 0.501], [0.250, 0.750, 0.499], [0.149, 0.149, 0.299], [0.851, 0.851, 0.701], [0.000, 0.500, 0.000]], "n_ef_per_ev_fu": 5.96, "ef_mev_per_atom": -499, "energy_ev_per_atom": -4.180, "magmom_total_mub_per_fu": 0.74, "crystal_system": "orthorhombic", "space_group": "Immm, No. 71"}

{"formula": "Pm4MgSn15", "functional": "PBE-GGA", "state": "optimized geometry", "lattice_angstrom": [[-2.582, -1.813, 3.461], [-1.413, -3.434, -2.853], [19.007, -13.656, 7.027]], "species": ["Sn", "Sn", "Sn", "Sn", "Sn", "Sn", "Sn", "Sn", "Sn", "Sn", "Sn", "Sn", "Sn", "Sn", "Sn", "Pm", "Pm", "Pm", "Pm", "Mg"], "fractional_positions": [[0.000, 0.500, 0.097], [0.500, 0.000, 0.903], [0.000, 0.500, 0.300], [0.000, 0.500, 0.700], [0.500, 0.000, 0.300], [0.500, 0.000, 0.097], [0.500, 0.500, 0.196], [0.500, 0.500, 0.600], [0.000, 0.500, 0.500], [0.500, 0.500, 0.804], [0.500, 0.000, 0.700], [0.000, 0.500, 0.903], [0.500, 0.500, 0.000], [0.500, 0.000, 0.500], [0.500, 0.500, 0.400], [0.000, 0.000, 0.796], [0.000, 0.000, 0.204], [0.000, 0.000, 0.601], [0.000, 0.000, 0.399], [0.000, 0.000, 0.000]], "n_ef_per_ev_fu": 8.68, "ef_mev_per_atom": -392, "energy_ev_per_atom": -4.424, "magmom_total_mub_per_fu": 0.00, "crystal_system": "tetragonal", "space_group": "P4/mmm, No. 123"}

{"formula": "Pm7MgSn4", "functional": "PBE-GGA", "state": "optimized geometry", "lattice_angstrom": [[-3.605, -3.107, -3.183], [5.058, -6.921, -4.121], [-2.665, -6.325, 4.044]], "species": ["Sn", "Sn", "Sn", "Sn", "Pm", "Pm", "Pm", "Pm", "Pm", "Pm", "Pm", "Mg"], "fractional_positions": [[0.574, 0.220, 0.633], [0.290, 0.333, 0.087], [0.710, 0.667, 0.913], [0.426, 0.780, 0.367], [0.794, 0.871, 0.542], [0.077, 0.667, 0.179], [0.923, 0.333, 0.821], [0.500, 0.000, 0.000], [0.656, 0.417, 0.270], [0.344, 0.583, 0.730], [0.206, 0.129, 0.458], [0.000, 0.000, 0.000]], "n_ef_per_ev_fu": 12.34, "ef_mev_per_atom": -334, "energy_ev_per_atom": -4.573, "magmom_total_mub_per_fu": 0.00, "crystal_system": "monoclinic", "space_group": "C2/m, No. 12"}

{"formula": "Pm3Mg2Sn3", "functional": "PBE-GGA", "state": "optimized geometry", "lattice_angstrom": [[6.407, 0.000, 0.000], [0.000, 7.823, -4.517], [0.000, 0.000, 9.033]], "species": ["Pm", "Pm", "Pm", "Pm", "Pm", "Pm", "Mg", "Mg", "Mg", "Mg", "Sn", "Sn", "Sn", "Sn", "Sn", "Sn"], "fractional_positions": [[0.250, 0.000, 0.733], [0.750, 0.267, 0.000], [0.250, 0.267, 0.267], [0.750, 0.733, 0.733], [0.250, 0.733, 0.000], [0.750, 0.000, 0.267], [0.500, 0.333, 0.667], [0.500, 0.667, 0.333], [0.000, 0.333, 0.667], [0.000, 0.667, 0.333], [0.750, 0.615, 0.000], [0.250, 0.385, 0.000], [0.250, 0.615, 0.615], [0.750, 0.385, 0.385], [0.250, 0.000, 0.385], [0.750, 0.000, 0.615]], "n_ef_per_ev_fu": 4.26, "ef_mev_per_atom": -529, "energy_ev_per_atom": -4.210, "magmom_total_mub_per_fu": 0.00, "crystal_system": "hexagonal", "space_group": "P6_3/mcm, No. 193"}

{"formula": "Pm5Mg4Sn", "functional": "PBE-GGA", "state": "optimized geometry", "lattice_angstrom": [[-1.000, -1.182, 3.550], [3.740, -0.198, 0.988], [-0.594, 18.238, 5.907]], "species": ["Pm", "Pm", "Pm", "Pm", "Pm", "Sn", "Mg", "Mg", "Mg", "Mg"], "fractional_positions": [[0.500, 0.500, 0.901], [0.500, 0.500, 0.500], [0.500, 0.500, 0.298], [0.500, 0.500, 0.702], [0.500, 0.500, 0.099], [0.000, 0.000, 0.000], [0.000, 0.000, 0.201], [0.000, 0.000, 0.399], [0.000, 0.000, 0.799], [0.000, 0.000, 0.601]], "n_ef_per_ev_fu": 8.81, "ef_mev_per_atom": -226, "energy_ev_per_atom": -3.640, "magmom_total_mub_per_fu": 0.00, "crystal_system": "tetragonal", "space_group": "P4/mmm, No. 123"}

{"formula": "PmMg4Sn", "functional": "PBE-GGA", "state": "optimized geometry", "lattice_angstrom": [[-3.161, 3.806, 3.390], [-0.945, -1.221, 5.795], [2.750, 3.238, 4.234]], "species": ["Mg", "Mg", "Mg", "Mg", "Sn", "Pm"], "fractional_positions": [[0.626, 0.123, 0.626], [0.626, 0.626, 0.626], [0.123, 0.626, 0.626], [0.626, 0.626, 0.123], [0.000, 0.000, 0.000], [0.250, 0.250, 0.250]], "n_ef_per_ev_fu": 3.24, "ef_mev_per_atom": -55, "energy_ev_per_atom": -2.577, "magmom_total_mub_per_fu": 0.00, "crystal_system": "cubic", "space_group": "F-43m, No. 216"}

{"formula": "PmMgSn2", "functional": "PBE-GGA", "state": "optimized geometry", "lattice_angstrom": [[3.828, 0.000, 0.000], [0.000, 3.828, 0.000], [0.000, 0.000, 7.077]], "species": ["Mg", "Sn", "Sn", "Pm"], "fractional_positions": [[0.500, 0.500, 0.500], [0.000, 0.000, 0.719], [0.000, 0.000, 0.281], [0.500, 0.500, 0.000]], "n_ef_per_ev_fu": 3.18, "ef_mev_per_atom": -395, "energy_ev_per_atom": -3.982, "magmom_total_mub_per_fu": 0.00, "crystal_system": "tetragonal", "space_group": "P4/mmm, No. 123"}